Entry 1:
! ScSn3F | Alexandria via LeMat-Bulk | PBE-GGA | optimized geometry; values from VASP
&SYSTEM
  ibrav = 0, nat = 5, ntyp = 3
/
ATOMIC_SPECIES
Sc 44.96 Sc.upf
Sn 118.71 Sn.upf
F 19.00 F.upf
ATOMIC_POSITIONS angstrom
Sc 0.0000 0.0000 0.0000
Sn 0.0000 0.0000 2.7745
Sn 0.0000 2.7745 0.0000
Sn 2.7745 0.0000 0.0000
F 2.7745 2.7745 2.7745
CELL_PARAMETERS angstrom
5.5490 0.0000 0.0000
0.0000 5.5490 0.0000
0.0000 0.0000 5.5490
! polymorph energy (0 for the lowest one): 665 meV per atom


Entry 2:
A geometry-optimized Sc2Sn2F structure. Source: Alexandria via LeMat-Bulk, functional PBE-GGA. Values from VASP.

Structure (Quantum ESPRESSO input):
```
&SYSTEM
  ibrav = 0, nat = 10, ntyp = 3
/
ATOMIC_SPECIES
Sc 44.96 Sc.upf
Sn 118.71 Sn.upf
F 19.00 F.upf
ATOMIC_POSITIONS angstrom
Sc 1.0697 2.0995 0.0000
Sc 2.0995 5.2686 0.0000
Sc 4.2388 1.0697 0.0000
Sc 5.2686 4.2388 0.0000
Sn 1.0615 4.2306 2.5280
Sn 2.1076 1.0615 2.5280
Sn 4.2306 5.2768 2.5280
Sn 5.2768 2.1076 2.5280
F 0.0000 0.0000 0.0000
F 3.1691 3.1691 0.0000
CELL_PARAMETERS angstrom
6.3382 0.0000 0.0000
0.0000 6.3382 0.0000
0.0000 0.0000 5.0560
```


Entry 3:
! Sc2SnF | Alexandria via LeMat-Bulk | PBE-GGA | optimized geometry; values from VASP
&SYSTEM
  ibrav = 0, nat = 4, ntyp = 3
/
ATOMIC_SPECIES
Sc 44.96 Sc.upf
Sn 118.71 Sn.upf
F 19.00 F.upf
ATOMIC_POSITIONS angstrom
Sc 0.0000 0.0000 2.0311
Sc 0.0000 0.0000 17.6178
Sn 0.0000 0.0000 9.8245
F 0.0000 0.0000 0.0000
CELL_PARAMETERS angstrom
2.2532 1.3009 6.5497
-2.2532 1.3009 6.5497
0.0000 -2.6017 6.5497
! polymorph energy (0 for the lowest one): 3 meV per atom


Entry 4:
! ScSn2F | Alexandria via LeMat-Bulk | PBE-GGA | optimized geometry; values from VASP
&SYSTEM
  ibrav = 0, nat = 4, ntyp = 3
/
ATOMIC_SPECIES
Sc 44.96 Sc.upf
Sn 118.71 Sn.upf
F 19.00 F.upf
ATOMIC_POSITIONS angstrom
Sc 0.0000 0.0000 0.0000
Sn 1.7508 1.7508 1.7508
Sn 5.2524 5.2524 5.2524
F 3.5016 3.5016 3.5016
CELL_PARAMETERS angstrom
0.0000 3.5016 3.5016
3.5016 0.0000 3.5016
3.5016 3.5016 0.0000
! polymorph energy (0 for the lowest one): 98 meV per atom


Q: Which uncorrected energy values were calculated for the entries above? A: -19.72 -57.58 -24.22 -18.70, in eV for the cell shown.
Q: Which energy relative to the elements, uncorrected values were calculated for the entries above? A: 0.097 -1.250 -1.421 -0.622, in eV per atom.